1.
An optimized crystal structure of CsSrCuBr4. Source: Alexandria, functional GGA-PBE.

abc: 6.963 7.532 9.932
angles: 90.00 110.46 90.00
Sites, in units of the cell vectors:
Br1 0.976 0.494 0.289
Br2 0.437 0.750 0.576
Sr1 0.230 0.250 0.554
Cu1 0.786 0.250 0.678
Sr2 0.770 0.750 0.446
Br3 0.976 0.006 0.289
Cu2 0.214 0.750 0.322
Br4 0.600 0.250 0.845
Br5 0.024 0.994 0.711
Cs1 0.248 0.250 0.058
Br6 0.024 0.506 0.711
Br7 0.400 0.750 0.155
Cs2 0.752 0.750 0.942
Br8 0.563 0.250 0.424

The calculation puts the size of the total moment at 0.1 μB/f.u. The value obtained for the formation energy without anion corrections is -1.510 eV/atom. Its crystal system is monoclinic.

2.
An optimized crystal structure of SrLi2VCr. Source: Alexandria, functional GGA-PBE.

abc: 4.369 4.938 4.369
angles: 90.00 90.00 90.00
Sites, in units of the cell vectors:
Li1 0.000 0.000 0.500
Sr1 0.000 0.000 0.000
Cr1 0.500 0.500 0.500
Li2 0.500 0.000 0.000
V1 0.000 0.500 0.000

The calculation puts the size of the total moment at 1.5 μB/f.u. Its crystal system is tetragonal. The formation energy is 2.056 eV per atom.

3.
An optimized crystal structure of Sm2ErTe3. Source: Alexandria, functional GGA-PBE.

abc: 4.418 6.203 7.627
angles: 114.00 106.83 90.00
Sites, in units of the cell vectors:
Er1 0.500 0.500 0.500
Te1 0.159 0.659 0.817
Te2 0.841 0.341 0.183
Te3 0.500 0.000 0.500
Sm1 0.826 0.826 0.152
Sm2 0.174 0.174 0.848

The calculation puts the size of the total moment at 0.0 μB/f.u. The value obtained for the formation energy without anion corrections is -1.327 eV/atom. Its crystal system is orthorhombic.

4.
An optimized crystal structure of CaPr2ThSe4. Source: Alexandria, functional GGA-PBE.

abc: 4.202 7.391 7.301
angles: 109.06 90.00 90.00
Sites, in units of the cell vectors:
Pr1 0.500 0.000 0.500
Pr2 0.000 0.500 0.500
Th1 0.500 0.500 0.000
Se1 0.000 0.248 0.758
Se2 0.500 0.244 0.239
Se3 0.000 0.752 0.242
Ca1 0.000 0.000 0.000
Se4 0.500 0.756 0.761

The calculation puts the size of the total moment at 0.0 μB/f.u. The value obtained for the formation energy without anion corrections is -1.782 eV/atom. Its crystal system is monoclinic.

5.
An optimized crystal structure of Tb4CeN5. Source: Alexandria, functional GGA-PBE.

abc: 4.961 6.075 6.075
angles: 80.40 65.90 65.90
Sites, in units of the cell vectors:
N1 0.904 0.394 0.801
Ce1 0.001 0.000 0.000
N2 0.098 0.606 0.199
Tb1 0.401 0.402 0.799
Tb2 0.199 0.201 0.402
Tb3 0.601 0.598 0.201
Tb4 0.803 0.799 0.598
N3 0.298 0.801 0.606
N4 0.704 0.199 0.394
N5 0.501 0.000 0.000

The calculation puts the size of the total moment at 0.0 μB/f.u. The value obtained for the formation energy without anion corrections is -1.641 eV/atom. Its crystal system is tetragonal.

6.
An optimized crystal structure of NdZrS2. Source: Alexandria, functional GGA-PBE.

abc: 3.917 3.917 8.601
angles: 76.84 76.84 60.00
Sites, in units of the cell vectors:
Zr1 0.000 0.000 0.000
S1 0.900 0.900 0.300
S2 0.100 0.100 0.700
Nd1 0.500 0.500 0.500

The calculation puts the size of the total moment at 0.0 μB/f.u. The value obtained for the formation energy without anion corrections is -1.114 eV/atom. Its crystal system is trigonal.